Entry 1:
{"formula": "PrPuPdRh", "functional": "PBE", "state": "optimized geometry", "dos_at_fermi_per_ev_atom": 2.90, "space_group": "Amm2", "magnetic_moment_mub_per_cell": 5.45, "vol_a3_per_fu": 92.93, "delta_e_f_ev_per_atom": -0.576, "lattice": [[-1.070, -2.563, -2.777], [1.671, -3.085, 2.204], [-4.454, 0.480, 4.050]], "species": ["Pr", "Pu", "Pd", "Rh"], "frac_coords": [[0.148, 0.000, 0.295], [0.868, 0.500, 0.737], [0.579, 0.500, 0.158], [0.405, 0.000, 0.810]]}

---

Entry 2:
{"formula": "Ac6Ir2SeCl3", "functional": "PBE", "state": "optimized geometry", "dos_at_fermi_per_ev_atom": 0.51, "space_group": "C2/m", "raw_formation_energy_ev_per_atom": -1.392, "magnetic_moment_mub_per_cell": 0.00, "vol_a3_per_fu": 399.96, "lattice": [[7.748, -0.002, 0.004], [-3.873, 6.710, 0.004], [-1.288, -2.231, 7.692]], "species": ["Ac", "Ac", "Ac", "Ac", "Ac", "Ac", "Ir", "Ir", "Se", "Cl", "Cl", "Cl"], "frac_coords": [[0.930, 0.571, 0.789], [0.712, 0.712, 0.210], [0.070, 0.429, 0.211], [0.571, 0.930, 0.789], [0.288, 0.288, 0.790], [0.429, 0.070, 0.211], [0.333, 0.667, 0.000], [0.667, 0.333, 0.000], [0.000, 0.000, 0.000], [0.157, 0.843, 0.500], [0.843, 0.157, 0.500], [0.500, 0.500, 0.500]]}

---

Entry 3:
{"formula": "KTlGa2Cl8", "functional": "PBE", "state": "optimized geometry", "dos_at_fermi_per_ev_atom": 0.00, "space_group": "R-3", "raw_formation_energy_ev_per_atom": -1.318, "magnetic_moment_mub_per_cell": 0.00, "vol_a3_per_fu": 381.44, "lattice": [[-0.133, -2.198, 6.485], [-1.622, -6.510, 1.377], [8.474, -5.292, 1.996]], "species": ["K", "Tl", "Ga", "Ga", "Cl", "Cl", "Cl", "Cl", "Cl", "Cl", "Cl", "Cl"], "frac_coords": [[0.000, 0.000, 0.000], [0.500, 0.500, 0.500], [0.242, 0.242, 0.275], [0.758, 0.758, 0.725], [0.164, 0.164, 0.509], [0.536, 0.330, 0.198], [0.836, 0.836, 0.491], [0.936, 0.536, 0.198], [0.064, 0.464, 0.802], [0.330, 0.936, 0.198], [0.670, 0.064, 0.802], [0.464, 0.670, 0.802]]}

---

Entry 4:
{"formula": "Li2LaSmSn2", "functional": "PBE", "state": "optimized geometry", "dos_at_fermi_per_ev_atom": 0.29, "space_group": "P-3m1", "magnetic_moment_mub_per_cell": 0.00, "vol_a3_per_fu": 154.31, "delta_e_f_ev_per_atom": -0.671, "lattice": [[-4.065, -1.324, 2.154], [4.106, -2.217, 1.068], [1.317, 5.166, 5.661]], "species": ["Li", "Li", "La", "Sm", "Sn", "Sn"], "frac_coords": [[0.333, 0.667, 0.785], [0.667, 0.333, 0.215], [0.000, 0.000, 0.500], [0.000, 0.000, 0.000], [0.333, 0.667, 0.239], [0.667, 0.333, 0.761]]}

---

Entry 5:
{"formula": "ZrAg", "functional": "PBE", "state": "optimized geometry", "dos_at_fermi_per_ev_atom": 1.16, "space_group": "P2_13", "magnetic_moment_mub_per_cell": 2.85, "vol_a3_per_fu": 42.31, "delta_e_f_ev_per_atom": 0.164, "lattice": [[5.531, 0.000, 0.000], [0.000, 5.531, 0.000], [0.000, 0.000, 5.531]], "species": ["Zr", "Zr", "Zr", "Zr", "Ag", "Ag", "Ag", "Ag"], "frac_coords": [[0.088, 0.088, 0.088], [0.412, 0.912, 0.588], [0.912, 0.588, 0.412], [0.588, 0.412, 0.912], [0.404, 0.404, 0.404], [0.096, 0.596, 0.904], [0.596, 0.904, 0.096], [0.904, 0.096, 0.596]]}

---

Entry 6:
{"formula": "TlSbTe2F", "functional": "PBE", "state": "optimized geometry", "dos_at_fermi_per_ev_atom": 0.92, "space_group": "P4/mmm", "raw_formation_energy_ev_per_atom": -0.196, "magnetic_moment_mub_per_cell": 0.00, "vol_a3_per_fu": 140.40, "lattice": [[5.587, 0.000, 0.000], [0.000, 5.587, 0.000], [0.000, 0.000, 4.499]], "species": ["Sb", "Tl", "Te", "Te", "F"], "frac_coords": [[0.000, 0.000, 0.500], [0.500, 0.500, 0.500], [0.000, 0.500, 0.000], [0.500, 0.000, 0.000], [0.000, 0.000, 0.000]]}

---

no.,mass density (g cm⁻³)
1,10.618
2,8.020
3,2.902
4,5.817
5,7.815
6,7.101